VASP calculation (PBE) on Y3Ge2Rh5 after structural relaxation.

Unit cell a=9.986 b=9.986 c=3.669 alpha=90.00 beta=90.00 gamma=90.00
Positions (direct):
Y 0.000 0.000 0.000
Y 0.173 0.327 0.000
Y 0.327 0.827 0.000
Y 0.500 0.500 0.000
Y 0.673 0.173 0.000
Y 0.827 0.673 0.000
Ge 0.123 0.623 0.000
Ge 0.377 0.123 0.000
Ge 0.623 0.877 0.000
Ge 0.877 0.377 0.000
Rh 0.000 0.500 0.500
Rh 0.070 0.783 0.500
Rh 0.217 0.070 0.500
Rh 0.283 0.570 0.500
Rh 0.430 0.283 0.500
Rh 0.500 0.000 0.500
Rh 0.570 0.717 0.500
Rh 0.717 0.430 0.500
Rh 0.783 0.930 0.500
Rh 0.930 0.217 0.500

D(E_F) = 0.539 states/eV/atom
total moment = 0.0 μB per formula unit
VASP energy = -7.389 eV/atom
space-group type = P4/mbm
energy relative to the elements = -0.85 eV per atom


VASP calculation (PBE) on AlP2HO after structural relaxation.

Unit cell a=4.877 b=4.877 c=3.371 alpha=90.00 beta=90.00 gamma=90.00
Positions (direct):
Al 0.000 0.000 0.000
P 0.000 0.500 0.000
P 0.500 0.000 0.000
H 0.500 0.500 0.500
O 0.000 0.000 0.500

D(E_F) = 0.604 states/eV/atom
total moment = 0.0 μB per formula unit
VASP energy = -4.120 eV/atom
relative energy among the computed polymorphs = 176 meV/atom
space-group type = P4/mmm


VASP calculation (PBE) on LiHfSiOs after structural relaxation.

Unit cell a=6.185 b=6.185 c=6.185 alpha=90.00 beta=90.00 gamma=90.00
Positions (direct):
Li 0.000 0.000 0.000
Li 0.000 0.500 0.500
Li 0.500 0.000 0.500
Li 0.500 0.500 0.000
Hf 0.250 0.250 0.750
Hf 0.250 0.750 0.250
Hf 0.750 0.250 0.250
Hf 0.750 0.750 0.750
Si 0.250 0.250 0.250
Si 0.250 0.750 0.750
Si 0.750 0.250 0.750
Si 0.750 0.750 0.250
Os 0.000 0.000 0.500
Os 0.000 0.500 0.000
Os 0.500 0.000 0.000
Os 0.500 0.500 0.500

D(E_F) = 0.766 states/eV/atom
total moment = 0.0 μB per formula unit
VASP energy = -7.580 eV/atom
space-group type = F-43m
formation energy without anion corrections = -0.45 eV/atom


VASP calculation (PBE) on SrTa2Br after structural relaxation.

Unit cell a=3.192 b=5.582 c=5.815 alpha=90.00 beta=90.00 gamma=90.00
Positions (direct):
Sr 0.000 0.000 0.000
Ta 0.500 0.225 0.500
Ta 0.500 0.775 0.500
Br 0.000 0.500 0.000

D(E_F) = 0.967 states/eV/atom
total moment = 0.0 μB per formula unit
VASP energy = -5.860 eV/atom
relative energy among the computed polymorphs = 837 meV/atom
space-group type = Pmmm
formation energy without anion corrections = 0.90 eV/atom


VASP calculation (PBE) on Ca3TlRe after structural relaxation.

Unit cell a=5.540 b=5.540 c=5.540 alpha=90.00 beta=90.00 gamma=90.00
Positions (direct):
Ca 0.000 0.000 0.500
Ca 0.000 0.500 0.000
Ca 0.500 0.000 0.000
Tl 0.500 0.500 0.500
Re 0.000 0.000 0.000

D(E_F) = 0.805 states/eV/atom
total moment = 1.3 μB per formula unit
VASP energy = -3.569 eV/atom
relative energy among the computed polymorphs = 0 meV/atom
space-group type = Pm-3m
energy relative to the elements = 0.59 eV per atom


VASP calculation (PBE) on CoPb2Br after structural relaxation.

Unit cell a=4.765 b=4.765 c=8.894 alpha=90.00 beta=90.00 gamma=90.00
Positions (direct):
Co 0.000 0.000 0.000
Co 0.500 0.500 0.500
Pb 0.000 0.500 0.250
Pb 0.000 0.500 0.750
Pb 0.500 0.000 0.250
Pb 0.500 0.000 0.750
Br 0.000 0.000 0.500
Br 0.500 0.500 0.000

D(E_F) = 1.160 states/eV/atom
total moment = 1.7 μB per formula unit
VASP energy = -3.571 eV/atom
relative energy among the computed polymorphs = 381 meV/atom
space-group type = I4/mmm
formation energy without anion corrections = 0.48 eV/atom